The following is a GGA-PBE calculation of a geometry-optimized TaIn2GaSi structure, from Alexandria via LeMat-Bulk.

## Properties
D(E_F) = 5.4 states/eV/f.u.
E_tot = -3.899 eV/atom

Cell lengths 5.117, 5.117, 4.655 Å; angles 90.00, 90.00, 90.00 degrees
Atoms (fractional coordinates):
1 Ta 0.000 0.000 0.000
2 In 0.000 0.500 0.500
3 In 0.500 0.000 0.500
4 Ga 0.500 0.500 0.500
5 Si 0.500 0.500 0.000

---

The following is a GGA-PBE calculation of a geometry-optimized LiO2 structure, from Alexandria via LeMat-Bulk.

## Properties
Offset from the most stable computed form = 0.037 eV/atom
D(E_F) = 1.3 states/eV/f.u.
E_tot = -4.824 eV/atom

Cell lengths 4.320, 4.320, 4.320 Å; angles 126.86, 108.85, 94.42 degrees
Atoms (fractional coordinates):
1 Li 0.234 0.234 0.000
2 Li 0.766 0.766 0.000
3 O 0.235 0.325 0.560
4 O 0.235 0.675 0.910
5 O 0.765 0.325 0.090
6 O 0.765 0.675 0.440